Here is a relaxed Fe2SbPd crystal from OQMD. Energies are from GGA-PBE.

Cell lengths 4.407, 4.407, 4.407 Å; angles 60.00, 60.00, 60.00 degrees
Fractional coordinates of all 4 atoms:
1 Fe 0.000 0.000 0.000
2 Fe 0.250 0.250 0.250
3 Sb 0.500 0.500 0.500
4 Pd 0.750 0.750 0.750

The density comes out at 9.3 g cm⁻³. The total moment comes out at 5.50 μB/f.u. The calculation puts the volume at 60.52 Å³ per cell. The calculated total energy comes out at -25.82 eV/cell. Its space-group type is F-43m.